1.
Material: KCrS2
Method: DFT, PBE
State: relaxed

Calculated values
Volume (Å³ per cell): 248
ρ (g cm⁻³): 3.12
Formation energy from raw total energies (eV/atom): -0.936

Structure (CIF):
```
data_KCrS2
_chemical_formula_sum 'K3 Cr3 S6'
_cell_length_a 3.6741
_cell_length_b 3.6741
_cell_length_c 21.2298
_cell_angle_alpha 90.00
_cell_angle_beta 90.00
_cell_angle_gamma 120.00
_space_group_name_H-M_alt 'R -3 m'
_space_group_IT_number 166
_space_group_name_Hall '-R 3 2"'
loop_
_atom_site_label
_atom_site_type_symbol
_atom_site_fract_x
_atom_site_fract_y
_atom_site_fract_z
_atom_site_occupancy
K1 K 0.0000 0.0000 0.0000 1
Cr1 Cr 0.0000 0.0000 0.5000 1
S1 S 0.0000 0.0000 0.2252 1
```

---

2.
Material: Nd6Sn3H
Method: DFT, PBE
State: relaxed

Calculated values
Volume (Å³ per cell): 1308
ρ (g cm⁻³): 6.21
Energy (eV per atom): -4.8006

Structure (CIF):
```
data_Nd6Sn3H
_chemical_formula_sum 'Nd24 Sn12 H4'
_cell_length_a 12.0804
_cell_length_b 14.8851
_cell_length_c 7.2742
_cell_angle_alpha 90.00
_cell_angle_beta 90.00
_cell_angle_gamma 90.00
_space_group_name_H-M_alt 'C m c 21'
_space_group_IT_number 36
_space_group_name_Hall 'C 2c -2'
loop_
_atom_site_label
_atom_site_type_symbol
_atom_site_fract_x
_atom_site_fract_y
_atom_site_fract_z
_atom_site_occupancy
Nd1 Nd 0.0000 0.0429 0.0000 1
Nd2 Nd 0.0000 0.2247 0.4631 1
Nd3 Nd 0.1594 0.4717 0.4646 1
Nd4 Nd 0.1603 0.2590 0.0020 1
Sn1 Sn 0.0000 0.3799 0.7614 1
Sn2 Sn 0.1705 0.1071 0.6843 1
H1 H 0.0000 0.1904 0.1337 1
```

---

3.
Material: Be3AgBi
Method: DFT, PBE
State: relaxed

Calculated values
Energy relative to the lowest polymorph listed for this composition (eV/atom): 0.000
Volume (Å³ per cell): 88
ρ (g cm⁻³): 6.50
Formation energy from the elements (eV per formula unit): 4.02

Structure (CIF):
```
data_Be3AgBi
_chemical_formula_sum 'Be3 Ag1 Bi1'
_cell_length_a 4.4446
_cell_length_b 4.4446
_cell_length_c 4.4446
_cell_angle_alpha 90.00
_cell_angle_beta 90.00
_cell_angle_gamma 90.00
_space_group_name_H-M_alt 'P m -3 m'
_space_group_IT_number 221
_space_group_name_Hall '-P 4 2 3'
loop_
_atom_site_label
_atom_site_type_symbol
_atom_site_fract_x
_atom_site_fract_y
_atom_site_fract_z
_atom_site_occupancy
Be1 Be 0.0000 0.0000 0.5000 1
Ag1 Ag 0.0000 0.0000 0.0000 1
Bi1 Bi 0.5000 0.5000 0.5000 1
```

---

4.
Material: Ca2InPt2
Method: DFT, PBE
State: relaxed

Calculated values
Volume (Å³ per cell): 257
ρ (g cm⁻³): 7.56
Formation energy from the elements (eV per formula unit): -2.56

Structure (CIF):
```
data_Ca2InPt2
_chemical_formula_sum 'Ca4 In2 Pt4'
_cell_length_a 3.7664
_cell_length_b 3.7664
_cell_length_c 18.1152
_cell_angle_alpha 90.00
_cell_angle_beta 90.00
_cell_angle_gamma 90.00
_space_group_name_H-M_alt 'I 4/m m m'
_space_group_IT_number 139
_space_group_name_Hall '-I 4 2'
loop_
_atom_site_label
_atom_site_type_symbol
_atom_site_fract_x
_atom_site_fract_y
_atom_site_fract_z
_atom_site_occupancy
Ca1 Ca 0.0000 0.0000 0.1239 1
In1 In 0.0000 0.0000 0.5000 1
Pt1 Pt 0.0000 0.5000 0.2500 1
```

---

5.
Material: Pm2CrReN6
Method: DFT, PBE
State: relaxed

Calculated values
Volume (Å³ per cell): 129
ρ (g cm⁻³): 7.88
Formation energy from raw total energies (eV/atom): -0.639

Structure (CIF):
```
data_Pm2CrReN6
_chemical_formula_sum 'Pm2 Cr1 Re1 N6'
_cell_length_a 5.3678
_cell_length_b 5.3678
_cell_length_c 4.4792
_cell_angle_alpha 90.00
_cell_angle_beta 90.00
_cell_angle_gamma 90.00
_space_group_name_H-M_alt 'P 4 m m'
_space_group_IT_number 99
_space_group_name_Hall 'P 4 -2'
loop_
_atom_site_label
_atom_site_type_symbol
_atom_site_fract_x
_atom_site_fract_y
_atom_site_fract_z
_atom_site_occupancy
Pm1 Pm 0.0000 0.5000 0.0000 1
Cr1 Cr 0.0000 0.0000 0.5601 1
Re1 Re 0.5000 0.5000 0.5646 1
N1 N 0.0000 0.0000 0.1934 1
N2 N 0.2478 0.2478 0.6719 1
N3 N 0.5000 0.5000 0.1670 1
```

---

6.
Material: Tb5Pm5Sc2
Method: DFT, PBE
State: relaxed

Calculated values
Energy relative to the lowest polymorph listed for this composition (eV/atom): 0.067
Volume (Å³ per cell): 762
ρ (g cm⁻³): 7.02
Formation energy from the elements (eV per formula unit): 1.24

Structure (CIF):
```
data_Tb5Pm5Sc2
_chemical_formula_sum 'Tb10 Pm10 Sc4'
_cell_length_a 11.8498
_cell_length_b 5.6163
_cell_length_c 12.1531
_cell_angle_alpha 90.00
_cell_angle_beta 109.62
_cell_angle_gamma 90.00
_space_group_name_H-M_alt 'C 1 2/m 1'
_space_group_IT_number 12
_space_group_name_Hall '-C 2y'
loop_
_atom_site_label
_atom_site_type_symbol
_atom_site_fract_x
_atom_site_fract_y
_atom_site_fract_z
_atom_site_occupancy
Tb1 Tb 0.0000 0.0000 0.0000 1
Tb2 Tb 0.0694 0.0000 0.7447 1
Tb3 Tb 0.1930 0.0000 0.5329 1
Pm1 Pm 0.0000 0.5000 0.5000 1
Pm2 Pm 0.1818 0.5000 0.9696 1
Pm3 Pm 0.2350 0.0000 0.2709 1
Sc1 Sc 0.0810 0.5000 0.2094 1
```

---

7.
Material: Pr3Er3In
Method: DFT, PBE
State: relaxed

Calculated values
Volume (Å³ per cell): 443
ρ (g cm⁻³): 7.78
Formation energy from the elements (eV per formula unit): -0.78

Structure (CIF):
```
data_Pr3Er3In
_chemical_formula_sum 'Pr6 Er6 In2'
_cell_length_a 9.5422
_cell_length_b 9.5422
_cell_length_c 5.6228
_cell_angle_alpha 90.00
_cell_angle_beta 90.00
_cell_angle_gamma 120.00
_space_group_name_H-M_alt 'P 63/m'
_space_group_IT_number 176
_space_group_name_Hall '-P 6c'
loop_
_atom_site_label
_atom_site_type_symbol
_atom_site_fract_x
_atom_site_fract_y
_atom_site_fract_z
_atom_site_occupancy
Pr1 Pr 0.1054 0.6323 0.2500 1
Er1 Er 0.0578 0.8239 0.7500 1
In1 In 0.3333 0.6667 0.7500 1
```

---

8.
Material: Nd8As3P4
Method: DFT, PBE
State: relaxed

Calculated values
Volume (Å³ per cell): 837
ρ (g cm⁻³): 5.96
Formation energy from the elements (eV per formula unit): -21.16

Structure (CIF):
```
data_Nd8As3P4
_chemical_formula_sum 'Nd16 As6 P8'
_cell_length_a 11.8723
_cell_length_b 11.8758
_cell_length_c 8.3799
_cell_angle_alpha 90.00
_cell_angle_beta 134.87
_cell_angle_gamma 90.00
_space_group_name_H-M_alt 'C 1 2/m 1'
_space_group_IT_number 12
_space_group_name_Hall '-C 2y'
loop_
_atom_site_label
_atom_site_type_symbol
_atom_site_fract_x
_atom_site_fract_y
_atom_site_fract_z
_atom_site_occupancy
Nd1 Nd 0.0000 0.2423 0.0000 1
Nd2 Nd 0.0000 0.2478 0.5000 1
Nd3 Nd 0.2394 0.0000 0.4840 1
Nd4 Nd 0.2402 0.0000 0.9948 1
As1 As 0.0000 0.5000 0.5000 1
As2 As 0.2500 0.2500 0.5000 1
P1 P 0.0000 0.0000 0.0000 1
P2 P 0.0000 0.0000 0.5000 1
P3 P 0.2500 0.2500 0.0000 1
```